4
Lattice="3.556 0.000 0.000 0.000 5.703 0.000 0.000 0.000 6.219" Properties=species:S:1:pos:R:3 comment="EuLu3 PBE optimized geometry" formation_energy_ev_per_atom=0.082 relative_energy_mev_per_atom=2 total_energy_ev_per_cell=-23.5 spacegroup="Pmm2 (25)" total_magnetization_mub_per_cell=8.52 pbc="T T T"
Lu 0.000 0.000 6.181
Eu 0.000 2.851 2.070
Lu 1.778 2.851 5.168
Lu 1.778 0.000 3.166

6
Lattice="2.331 -4.037 0.000 2.331 4.037 0.000 0.000 0.000 13.743" Properties=species:S:1:pos:R:3 comment="Si2Te PBE optimized geometry" relative_energy_mev_per_atom=888 total_energy_ev_per_cell=-22.5 spacegroup="P6_3/mmc (194)" total_magnetization_mub_per_cell=0.00 pbc="T T T"
Si 0.000 0.000 2.258
Si 0.000 0.000 9.130
Te 2.331 1.346 3.436
Si 0.000 0.000 4.613
Si 0.000 0.000 11.485
Te 2.331 -1.346 10.307

4
Lattice="-4.166 -6.114 0.936 -1.861 -6.918 -2.070 -0.523 -7.277 1.546" Properties=species:S:1:pos:R:3 comment="ZrInAs2 PBE optimized geometry" formation_energy_ev_per_atom=-0.487 total_energy_ev_per_cell=-22.5 spacegroup="R-3m (166)" total_magnetization_mub_per_cell=0.00 pbc="T T T"
As -0.049 -0.153 0.003
In -1.637 -5.077 0.103
Zr -4.912 -15.232 0.308
As -3.225 -10.002 0.202

5
Lattice="-4.389 -1.272 0.038 1.306 -4.566 -2.017 0.531 -1.706 4.206" Properties=species:S:1:pos:R:3 comment="MgScRh2Au PBE optimized geometry" formation_energy_ev_per_atom=0.678 relative_energy_mev_per_atom=19 total_energy_ev_per_cell=-22.5 spacegroup="P4/mmm (123)" total_magnetization_mub_per_cell=0.00 pbc="T T T"
Rh 0.265 -0.853 2.103
Sc 0.000 0.000 0.000
Rh -2.194 -0.636 0.019
Au -1.276 -3.772 1.113
Mg 0.653 -2.283 -1.009

4
Lattice="8.132 -0.004 0.007 6.202 5.260 -0.007 -7.095 -2.824 2.796" Properties=species:S:1:pos:R:3 comment="TlSbSe2 PBE optimized geometry" total_energy_ev_per_cell=-14.3 spacegroup="Imm2 (44)" total_magnetization_mub_per_cell=0.00 pbc="T T T"
Sb 2.457 2.282 1.394
Tl 6.546 2.400 0.000
Se 0.959 0.352 0.000
Se 4.444 0.025 1.401

3
Lattice="4.713 0.000 0.000 2.356 4.081 0.000 2.356 1.360 3.848" Properties=species:S:1:pos:R:3 comment="CaMgPt PBE optimized geometry" formation_energy_ev_per_atom=-0.682 total_energy_ev_per_cell=-11.7 spacegroup="F-43m (216)" total_magnetization_mub_per_cell=0.00 pbc="T T T"
Ca 0.000 0.000 0.000
Pt 7.069 4.081 2.886
Mg 4.713 2.721 1.924